No. 1
## Sm3Cd2Ag4 (PBE)

Data for Sm3Cd2Ag4 after structural relaxation.

Cell lengths 5.121, 5.121, 9.315 Å; angles 90.14, 90.14, 59.92 degrees
Sites, in units of the cell vectors:
Sm (0.000, 0.000, 0.000)
Sm (0.334, 0.334, 0.597)
Sm (0.666, 0.666, 0.403)
Cd (0.333, 0.333, 0.232)
Cd (0.667, 0.667, 0.768)
Ag (0.001, 0.001, 0.658)
Ag (0.333, 0.333, 0.923)
Ag (0.667, 0.667, 0.077)
Ag (0.999, 0.999, 0.342)

Summary:
As for the total DFT energy (no corrections): -3.29 eV per atom. For the energy above the most stable polymorph in this dataset, the calculation gives 0.042 eV/atom.

***

No. 2
## Sm8CdAg2 (PBE)

Data for Sm8CdAg2 after structural relaxation.

Cell lengths 9.486, 9.486, 7.241 Å; angles 106.99, 106.99, 32.35 degrees
Sites, in units of the cell vectors:
Sm (0.028, 0.028, 0.266)
Sm (0.193, 0.193, 0.810)
Sm (0.329, 0.329, 0.526)
Sm (0.408, 0.408, 0.034)
Sm (0.592, 0.592, 0.966)
Sm (0.671, 0.671, 0.474)
Sm (0.807, 0.807, 0.190)
Sm (0.972, 0.972, 0.734)
Cd (0.500, 0.500, 0.500)
Ag (0.184, 0.184, 0.211)
Ag (0.816, 0.816, 0.789)

Summary:
As for the total DFT energy (no corrections): -4.15 eV per atom. For the energy above the most stable polymorph in this dataset, the calculation gives 0.012 eV/atom.

***

Across the entries above, energy of formation from the pure elements takes the values -0.25 -0.11 eV/atom, respectively.